Entry 1:
Density functional theory data (SCAN) for RbMn3I at its PBEsol-relaxed geometry.

```
RbMn3I
1.0
4.9937 0.0000 0.0000
0.0000 4.9937 0.0000
0.0000 0.0000 4.9937
I Mn Rb
1 3 1
Direct
0.0000 0.0000 0.0000
0.0000 0.5000 0.0000
0.0000 0.0000 0.5000
0.5000 0.0000 0.0000
0.5000 0.5000 0.5000
```

Results
The symmetry is No. 221. The formation energy from raw total energies is 1.14 eV/atom.

Entry 2:
Density functional theory data (SCAN) for Rb2MnI4 at its PBEsol-relaxed geometry.

```
Rb2MnI4
1.0
-4.2131 -6.4164 -0.3201
2.0063 -1.6979 7.6278
-5.8464 7.7731 3.2681
Rb Mn I
4 2 8
Direct
0.2033 0.7500 0.5414
0.7967 0.2500 0.4586
0.2820 0.7500 0.0800
0.7180 0.2500 0.9200
0.7944 0.7500 0.7096
0.2056 0.2500 0.2904
0.6222 0.7500 0.4383
0.3778 0.2500 0.5617
0.9774 0.9931 0.2259
0.0226 0.0069 0.7741
0.0226 0.4931 0.7741
0.9774 0.5069 0.2259
0.5809 0.7500 0.8649
0.4191 0.2500 0.1351
```

Results
The symmetry is No. 11. The formation energy from raw total energies is -1.31 eV/atom.

Entry 3:
Density functional theory data (SCAN) for RbMn2I at its PBEsol-relaxed geometry.

```
RbMn2I
1.0
5.3809 0.0000 0.0000
2.6905 4.6600 0.0000
2.6905 1.5533 4.3935
I Mn Rb
1 2 1
Direct
0.5000 0.5000 0.5000
0.2500 0.2500 0.2500
0.7500 0.7500 0.7500
0.0000 0.0000 0.0000
```

Results
The symmetry is No. 225. The formation energy from raw total energies is 0.73 eV/atom.

Entry 4:
Density functional theory data (SCAN) for RbMnSb2I at its PBEsol-relaxed geometry.

```
RbMnSb2I
1.0
6.0527 0.0000 0.0000
0.0000 6.0527 0.0000
0.0000 0.0000 6.2285
I Sb Mn Rb
1 2 1 1
Direct
0.0000 0.0000 0.5000
0.0000 0.5000 0.0000
0.5000 0.0000 0.0000
0.5000 0.5000 0.5000
0.0000 0.0000 0.0000
```

Results
The symmetry is No. 123. The formation energy from raw total energies is 1.16 eV/atom.

Entry 5:
Density functional theory data (SCAN) for MnRe3I at its PBEsol-relaxed geometry.

```
MnRe3I
1.0
4.7430 0.0000 0.0000
0.0000 4.7430 0.0000
0.0000 0.0000 4.7430
I Re Mn
1 3 1
Direct
0.0000 0.0000 0.0000
0.0000 0.5000 0.0000
0.0000 0.0000 0.5000
0.5000 0.0000 0.0000
0.5000 0.5000 0.5000
```

Results
The symmetry is No. 221. The formation energy from raw total energies is 2.78 eV/atom.

Entry 6:
Density functional theory data (SCAN) for ScMnRe2I at its PBEsol-relaxed geometry.

```
ScMnRe2I
1.0
-2.3931 3.0454 -2.3659
-2.6998 0.8878 3.8736
3.0620 3.4498 1.3434
I Re Mn Sc
1 2 1 1
Direct
0.0000 0.0000 0.0000
0.0000 0.0000 0.5000
0.0000 0.5000 0.0000
0.5000 0.0000 0.0000
0.5000 0.5000 0.5000
```

Results
The symmetry is No. 123. The formation energy from raw total energies is 1.82 eV/atom.

Entry 7:
Density functional theory data (SCAN) for MnRu3I at its PBEsol-relaxed geometry.

```
MnRu3I
1.0
-1.6100 2.6972 3.1051
0.8404 -3.0484 3.0837
4.0262 1.7149 0.5980
I Ru Mn
1 3 1
Direct
0.5000 0.5000 0.5000
0.0000 0.5000 0.0000
0.0000 0.0000 0.5000
0.5000 0.0000 0.0000
0.0000 0.0000 0.0000
```

Results
The symmetry is No. 221. The formation energy from raw total energies is 1.55 eV/atom.

Entry 8:
Density functional theory data (SCAN) for Mn2RuWI at its PBEsol-relaxed geometry.

```
Mn2RuWI
1.0
-1.4511 -2.0573 -3.8823
-1.1432 -3.9694 2.5307
-4.4556 1.7528 0.7366
I Ru Mn W
1 1 2 1
Direct
0.5000 0.5000 0.5000
0.0000 0.0000 0.0000
0.0000 0.0000 0.5000
0.0000 0.5000 0.0000
0.5000 0.0000 0.0000
```

Results
The symmetry is No. 123. The formation energy from raw total energies is 1.02 eV/atom.

Entry 9:
Density functional theory data (SCAN) for MnRu2WI at its PBEsol-relaxed geometry.

```
MnRu2WI
1.0
4.6778 0.0000 0.0000
0.0000 4.6830 0.0000
0.0000 0.0000 4.6830
I Ru Mn W
1 2 1 1
Direct
0.5000 0.5000 0.5000
0.0000 0.0000 0.5000
0.0000 0.5000 0.0000
0.5000 0.0000 0.0000
0.0000 0.0000 0.0000
```

Results
The symmetry is No. 123. The formation energy from raw total energies is 1.53 eV/atom.

Entry 10:
Density functional theory data (SCAN) for Mn3SI at its PBEsol-relaxed geometry.

```
Mn3SI
1.0
4.8872 0.0000 0.0000
0.0000 4.8872 0.0000
0.0000 0.0000 4.8872
I S Mn
1 1 3
Direct
0.0000 0.0000 0.0000
0.5000 0.5000 0.5000
0.0000 0.5000 0.0000
0.0000 0.0000 0.5000
0.5000 0.0000 0.0000
```

Results
The symmetry is No. 221. The formation energy from raw total energies is 1.00 eV/atom.

Entry 11:
Density functional theory data (SCAN) for MnS2I at its PBEsol-relaxed geometry.

```
MnS2I
1.0
-0.0284 -6.2323 -0.8090
2.7618 2.4850 5.1702
-2.7227 -0.7169 5.6187
I S Mn
2 4 2
Direct
0.7500 0.5000 0.7500
0.0000 0.0000 0.0000
0.4866 0.7500 0.3750
0.2634 0.7500 0.8750
0.8750 0.2500 0.4866
0.3750 0.2500 0.2634
0.2500 0.5000 0.2500
0.5000 0.0000 0.5000
```

Results
The symmetry is No. 122. The formation energy from raw total energies is 0.01 eV/atom.

Entry 12:
Density functional theory data (SCAN) for MnSbSI2 at its PBEsol-relaxed geometry.

```
MnSbSI2
1.0
-2.5573 -4.1482 2.3731
2.9907 0.6010 4.2734
-3.5337 3.3256 2.0053
I Sb S Mn
2 1 1 1
Direct
0.0000 0.0000 0.5000
0.0000 0.5000 0.0000
0.5000 0.0000 0.0000
0.0000 0.0000 0.0000
0.5000 0.5000 0.5000
```

Results
The symmetry is No. 123. The formation energy from raw total energies is 0.60 eV/atom.

Entry 13:
Density functional theory data (SCAN) for MnSbI2 at its PBEsol-relaxed geometry.

```
MnSbI2
1.0
5.2882 0.0000 0.0000
2.6441 4.5797 0.0000
2.6441 1.5266 4.3178
I Sb Mn
2 1 1
Direct
0.2500 0.2500 0.2500
0.7500 0.7500 0.7500
0.5000 0.5000 0.5000
0.0000 0.0000 0.0000
```

Results
The symmetry is No. 225. As for the energy above the most stable polymorph in this dataset: 422 meV/atom. The formation energy from raw total energies is 0.43 eV/atom.

Entry 14:
Density functional theory data (SCAN) for MnSbI2 at its PBEsol-relaxed geometry.

```
MnSbI2
1.0
-0.3480 -4.1355 6.3875
6.4712 -3.0324 -2.6364
-2.6877 6.4603 3.0106
I Sb Mn
4 2 2
Direct
0.8382 0.4632 0.1250
0.1618 0.2868 0.6250
0.6618 0.3750 0.5368
0.3382 0.8750 0.7132
0.0000 0.0000 0.0000
0.5000 0.7500 0.2500
0.0000 0.5000 0.5000
0.5000 0.2500 0.7500
```

Results
The symmetry is No. 122. As for the energy above the most stable polymorph in this dataset: 0 meV/atom. The formation energy from raw total energies is 0.01 eV/atom.

Entry 15:
Density functional theory data (SCAN) for YMnSb2I at its PBEsol-relaxed geometry.

```
YMnSb2I
1.0
5.0366 0.0000 0.0000
0.0000 5.0366 0.0000
0.0000 0.0000 5.3961
I Sb Mn Y
1 2 1 1
Direct
0.0000 0.0000 0.5000
0.0000 0.5000 0.0000
0.5000 0.0000 0.0000
0.0000 0.0000 0.0000
0.5000 0.5000 0.5000
```

Results
The symmetry is No. 123. The formation energy from raw total energies is -0.08 eV/atom.

Entry 16:
Density functional theory data (SCAN) for MnZnSbI2 at its PBEsol-relaxed geometry.

```
MnZnSbI2
1.0
-1.1901 3.0882 -4.1533
0.7012 -4.1761 -3.3061
-5.1885 -1.2893 0.5281
I Sb Zn Mn
2 1 1 1
Direct
0.0000 0.0000 0.5000
0.0000 0.5000 0.0000
0.5000 0.0000 0.0000
0.0000 0.0000 0.0000
0.5000 0.5000 0.5000
```

Results
The symmetry is No. 123. The formation energy from raw total energies is 0.44 eV/atom.

Entry 17:
Density functional theory data (SCAN) for MnZnSb2I at its PBEsol-relaxed geometry.

```
MnZnSb2I
1.0
-1.2173 0.0233 -4.7293
-1.8846 -4.4813 0.4630
-5.0121 2.2422 1.3012
I Sb Zn Mn
1 2 1 1
Direct
0.0000 0.0000 0.5000
0.0000 0.5000 0.0000
0.5000 0.0000 0.0000
0.5000 0.5000 0.5000
0.0000 0.0000 0.0000
```

Results
The symmetry is No. 123. The formation energy from raw total energies is 0.47 eV/atom.

Entry 18:
Density functional theory data (SCAN) for MnSe2I at its PBEsol-relaxed geometry.

```
MnSe2I
1.0
3.3111 0.0000 0.0000
-1.6556 2.9590 -0.0103
0.0000 -1.7597 9.8244
I Mn Se
1 1 2
Direct
0.0000 0.0000 0.0000
0.5000 0.0000 0.5000
0.2151 0.4302 0.6489
0.7849 0.5698 0.3511
```

Results
The symmetry is No. 12. As for the energy above the most stable polymorph in this dataset: 0 meV/atom. The formation energy from raw total energies is -0.42 eV/atom.

Entry 19:
Density functional theory data (SCAN) for MnSe2I at its PBEsol-relaxed geometry.

```
MnSe2I
1.0
3.0839 0.0000 0.0000
1.5420 2.6707 0.0000
1.5420 0.8902 12.0278
I Mn Se
1 1 2
Direct
0.5000 0.5000 0.5000
0.0000 0.0000 0.0000
0.9353 0.9353 0.1942
0.0647 0.0647 0.8058
```

Results
The symmetry is No. 166. As for the energy above the most stable polymorph in this dataset: 720 meV/atom. The formation energy from raw total energies is 0.30 eV/atom.

Entry 20:
Density functional theory data (SCAN) for MnSi2I at its PBEsol-relaxed geometry.

```
MnSi2I
1.0
-3.0533 -2.8709 2.2611
-0.4427 -2.6341 -3.9424
7.8282 -1.8366 3.2241
I Si Mn
2 4 2
Direct
0.0000 0.0000 0.0000
0.2500 0.7500 0.5000
0.6250 0.3750 0.7500
0.1250 0.3750 0.7500
0.6250 0.8750 0.2500
0.6250 0.3750 0.2500
0.5000 0.5000 0.0000
0.7500 0.2500 0.5000
```

Results
The symmetry is No. 141. The formation energy from raw total energies is 0.65 eV/atom.

Entry 21:
Density functional theory data (SCAN) for MnSnI2 at its PBEsol-relaxed geometry.

```
MnSnI2
1.0
-5.0300 0.0181 -1.7181
-1.2271 -2.2564 -4.6536
-2.7883 -4.5240 -0.1068
I Mn Sn
2 1 1
Direct
0.2500 0.2500 0.2500
0.7500 0.7500 0.7500
0.0000 0.0000 0.0000
0.5000 0.5000 0.5000
```

Results
The symmetry is No. 225. The formation energy from raw total energies is 0.29 eV/atom.

Entry 22:
Density functional theory data (SCAN) for MnSnTe2I at its PBEsol-relaxed geometry.

```
MnSnTe2I
1.0
5.6231 0.0000 0.0000
0.0000 5.6231 0.0000
0.0000 0.0000 5.7826
I Te Sn Mn
1 2 1 1
Direct
0.0000 0.0000 0.5000
0.0000 0.5000 0.0000
0.5000 0.0000 0.0000
0.0000 0.0000 0.0000
0.5000 0.5000 0.5000
```

Results
The symmetry is No. 123. The formation energy from raw total energies is 0.42 eV/atom.

Entry 23:
Density functional theory data (SCAN) for SrMnI3 at its PBEsol-relaxed geometry.

```
SrMnI3
1.0
5.5302 0.0000 0.0000
0.0000 5.5302 0.0000
0.0000 0.0000 5.5302
I Sr Mn
3 1 1
Direct
0.0000 0.5000 0.0000
0.0000 0.0000 0.5000
0.5000 0.0000 0.0000
0.5000 0.5000 0.5000
0.0000 0.0000 0.0000
```

Results
The symmetry is No. 221. The formation energy from raw total energies is -0.83 eV/atom.

Entry 24:
Density functional theory data (SCAN) for TaMnTeI2 at its PBEsol-relaxed geometry.

```
TaMnTeI2
1.0
5.3585 0.0000 0.0000
0.0000 5.4825 0.0000
0.0000 0.0000 5.4825
I Te Mn Ta
2 1 1 1
Direct
0.0000 0.0000 0.5000
0.0000 0.5000 0.0000
0.5000 0.0000 0.0000
0.5000 0.5000 0.5000
0.0000 0.0000 0.0000
```

Results
The symmetry is No. 123. As for the energy above the most stable polymorph in this dataset: 0 meV/atom. The formation energy from raw total energies is 0.47 eV/atom.

Entry 25:
Density functional theory data (SCAN) for MnTc3I at its PBEsol-relaxed geometry.

```
MnTc3I
1.0
4.4283 0.0000 0.0000
0.0000 4.4283 0.0000
0.0000 0.0000 4.4283
I Mn Tc
1 1 3
Direct
0.5000 0.5000 0.5000
0.0000 0.0000 0.0000
0.0000 0.5000 0.0000
0.0000 0.0000 0.5000
0.5000 0.0000 0.0000
```

Results
The symmetry is No. 221. The formation energy from raw total energies is 1.57 eV/atom.

Entry 26:
Density functional theory data (SCAN) for Mn3TeI at its PBEsol-relaxed geometry.

```
Mn3TeI
1.0
5.0286 0.0000 0.0000
0.0000 5.0286 0.0000
0.0000 0.0000 5.0286
I Te Mn
1 1 3
Direct
0.5000 0.5000 0.5000
0.0000 0.0000 0.0000
0.0000 0.5000 0.0000
0.0000 0.0000 0.5000
0.5000 0.0000 0.0000
```

Results
The symmetry is No. 221. The formation energy from raw total energies is 0.49 eV/atom.

Entry 27:
Density functional theory data (SCAN) for MnZnTe2I at its PBEsol-relaxed geometry.

```
MnZnTe2I
1.0
-0.1770 -0.4575 5.1687
-4.6302 -2.3205 -0.3639
2.4768 -4.8875 -0.3478
I Zn Te Mn
1 1 2 1
Direct
0.0000 0.0000 0.5000
0.0000 0.0000 0.0000
0.0000 0.5000 0.0000
0.5000 0.0000 0.0000
0.5000 0.5000 0.5000
```

Results
The symmetry is No. 123. The formation energy from raw total energies is 0.38 eV/atom.

Entry 28:
Density functional theory data (SCAN) for Ti2MnWI at its PBEsol-relaxed geometry.

```
Ti2MnWI
1.0
4.3963 0.0000 0.0000
0.0000 4.3963 0.0000
0.0000 0.0000 4.6016
I Mn W Ti
1 1 1 2
Direct
0.0000 0.0000 0.5000
0.0000 0.0000 0.0000
0.5000 0.5000 0.5000
0.0000 0.5000 0.0000
0.5000 0.0000 0.0000
```

Results
The symmetry is No. 123. The formation energy from raw total energies is 1.39 eV/atom.